No. 1
Rb2HgPbBr6: relaxed, PBE-GGA.

Cell lengths 8.0741, 8.0758, 8.0767 Å; angles 60.78, 60.80, 60.82 degrees
With the nearest neighbours (Å) after each atom.
Positions (direct):
Rb 0.0000 0.0000 0.0000  6 Br 3.49-3.70
Rb 0.4969 0.4959 0.4966  6 Br 3.47-3.80
Hg 0.2336 0.2334 0.2336  6 Br 2.83-2.90
Pb 0.7334 0.7332 0.7332  6 Br 2.99-3.05
Br 0.0654 0.9103 0.4624  1 Hg 2.89, 1 Pb 3.00
Br 0.3962 0.5508 0.9806  1 Hg 2.83, 1 Pb 3.05
Br 0.4640 0.0641 0.9108  1 Hg 2.90, 1 Pb 2.99
Br 0.5509 0.9819 0.3963  1 Hg 2.83, 1 Pb 3.05
Br 0.9106 0.4626 0.0649  1 Hg 2.89, 1 Pb 3.00
Br 0.9818 0.3962 0.5507  1 Hg 2.83, 1 Pb 3.05

Computed properties:
SG	P1

---

No. 2
RbHgPbBr5: relaxed, PBE-GGA.

Cell lengths 8.2860, 8.2860, 10.9021 Å; angles 103.68, 103.68, 106.73 degrees
With the nearest neighbours (Å) after each atom.
Positions (direct):
Rb 0.1536 0.8464 0.7500  5 Br 3.42-3.56
Rb 0.8464 0.1536 0.2500  5 Br 3.42-3.56
Hg 0.1836 0.8164 0.2500  4 Br 2.67-2.71
Hg 0.8164 0.1836 0.7500  4 Br 2.67-2.71
Pb 0.5000 0.5000 0.0000  6 Br 2.97-3.10
Pb 0.5000 0.5000 0.5000  6 Br 2.97-3.10
Br 0.1182 0.2379 0.9438  1 Hg 2.71
Br 0.1685 0.5900 0.3890  1 Hg 2.67
Br 0.2379 0.1182 0.4438  1 Hg 2.71
Br 0.4100 0.8315 0.1110  1 Hg 2.67
Br 0.4110 0.5890 0.7500  2 Pb 2.97
Br 0.5890 0.4110 0.2500  2 Pb 2.97
Br 0.5900 0.1685 0.8890  1 Hg 2.67
Br 0.7621 0.8818 0.5562  1 Hg 2.71
Br 0.8315 0.4100 0.6110  1 Hg 2.67
Br 0.8818 0.7621 0.0562  1 Hg 2.71

Computed properties:
SG	C2/c

---

No. 3
RbHgPb2Br8: relaxed, PBE-GGA.

Cell lengths 7.0578, 7.4578, 9.1636 Å; angles 85.62, 89.73, 85.56 degrees
With the nearest neighbours (Å) after each atom.
Positions (direct):
Rb 0.0000 0.0000 0.0000  6 Br 3.34-3.59
Hg 0.0000 0.0000 0.5000  2 Br 2.50
Pb 0.4722 0.5055 0.2594  5 Br 2.78-3.05
Pb 0.5278 0.4945 0.7406  5 Br 2.78-3.05
Br 0.1162 0.6898 0.2734  1 Pb 2.78
Br 0.1185 0.7762 0.7021  1 Hg 2.50
Br 0.3725 0.2660 0.5239  2 Pb 2.98-3.01
Br 0.3926 0.2772 0.0082  2 Pb 3.03-3.05
Br 0.6074 0.7228 0.9918  2 Pb 3.03-3.05
Br 0.6275 0.7340 0.4761  2 Pb 2.98-3.01
Br 0.8815 0.2238 0.2979  1 Hg 2.50
Br 0.8838 0.3102 0.7266  1 Pb 2.78

Computed properties:
SG	P-1

---

No. 4
Rb2HgPbBr4: relaxed, PBE-GGA.

Cell lengths 15.1490, 4.7002, 9.3571 Å; angles 90.00, 108.55, 90.00 degrees
With the nearest neighbours (Å) after each atom.
Positions (direct):
Rb 0.2095 0.0000 0.2156  6 Br 3.40-3.64
Rb 0.2905 0.5000 0.7844  6 Br 3.40-3.64
Rb 0.7095 0.5000 0.2156  6 Br 3.40-3.64
Rb 0.7905 0.0000 0.7844  6 Br 3.40-3.64
Hg 0.0000 0.5000 0.0000  6 Br 3.82-3.86, 4 Rb 3.95
Hg 0.5000 0.0000 0.0000  6 Br 3.82-3.86, 4 Rb 3.95
Pb 0.0000 0.0000 0.5000  6 Br 3.03-3.14
Pb 0.5000 0.5000 0.5000  6 Br 3.03-3.14
Br 0.1161 0.5000 0.4269  2 Pb 3.14
Br 0.1358 0.0000 0.8173  1 Pb 3.03
Br 0.3642 0.5000 0.1827  1 Pb 3.03
Br 0.3839 0.0000 0.5731  2 Pb 3.14
Br 0.6161 0.0000 0.4269  2 Pb 3.14
Br 0.6358 0.5000 0.8173  1 Pb 3.03
Br 0.8642 0.0000 0.1827  1 Pb 3.03
Br 0.8839 0.5000 0.5731  2 Pb 3.14

Computed properties:
SG	C2/m

---

No. 5
RbHgPbBr3: relaxed, PBE-GGA.

Cell lengths 9.4355, 9.4355, 8.5801 Å; angles 98.44, 98.44, 136.21 degrees
With the nearest neighbours (Å) after each atom.
Positions (direct):
Rb 0.2449 0.7551 0.7500  6 Br 3.60-3.79
Rb 0.7551 0.2449 0.2500  6 Br 3.60-3.79
Hg 0.4070 0.5930 0.2500  5 Br 3.42-3.73
Hg 0.5930 0.4070 0.7500  5 Br 3.42-3.73
Pb 0.0454 0.9546 0.2500  5 Br 2.91-3.08
Pb 0.9546 0.0454 0.7500  5 Br 2.91-3.08
Br 0.1427 0.3006 0.5136  2 Pb 3.06-3.08
Br 0.2115 0.7885 0.2500  1 Pb 2.91
Br 0.3006 0.1427 0.0136  2 Pb 3.06-3.08
Br 0.6994 0.8573 0.9864  2 Pb 3.06-3.08
Br 0.7885 0.2115 0.7500  1 Pb 2.91
Br 0.8573 0.6994 0.4864  2 Pb 3.06-3.08

Computed properties:
SG	C2/c

---

No. 6
HgRhPbBr2: relaxed, PBE-GGA.

Cell lengths 5.3667, 5.3667, 5.9720 Å; angles 90.00, 90.00, 90.00 degrees
With the nearest neighbours (Å) after each atom.
Positions (direct):
Hg 0.0000 0.0000 0.0000  4 Br 2.68, 2 Pb 2.99
Rh 0.5000 0.5000 0.5000  4 Pb 3.79, 8 Br 4.01
Pb 0.0000 0.0000 0.5000  2 Hg 2.99
Br 0.0000 0.5000 0.0000  2 Hg 2.68
Br 0.5000 0.0000 0.0000  2 Hg 2.68

Computed properties:
SG	P4/mmm

---

No. 7
Hg2PbS2Br: relaxed, PBE-GGA.

Cell lengths 7.7652, 6.1800, 8.6101 Å; angles 90.00, 114.05, 90.00 degrees
With the nearest neighbours (Å) after each atom.
Positions (direct):
Hg 0.1901 0.0282 0.1270  2 S 2.50-2.74, 1 Hg 2.74
Hg 0.1901 0.4718 0.1270  2 S 2.50-2.74, 1 Hg 2.74
Hg 0.8099 0.5282 0.8730  2 S 2.50-2.74, 1 Hg 2.74
Hg 0.8099 0.9718 0.8730  2 S 2.50-2.74, 1 Hg 2.74
Pb 0.3466 0.2500 0.6101  2 S 2.78-2.80
Pb 0.6534 0.7500 0.3899  2 S 2.78-2.80
S 0.3817 0.7500 0.0572  2 Hg 2.50, 1 Pb 2.78
S 0.4901 0.2500 0.3592  2 Hg 2.74, 1 Pb 2.80
S 0.5099 0.7500 0.6408  2 Hg 2.74, 1 Pb 2.80
S 0.6183 0.2500 0.9428  2 Hg 2.50, 1 Pb 2.78
Br 0.0615 0.7500 0.3469  2 Hg 3.01, 1 Pb 3.34, 1 S 3.37
Br 0.9385 0.2500 0.6531  2 Hg 3.01, 1 Pb 3.34, 1 S 3.37

Computed properties:
SG	P2_1/m

---

No. 8
HgPb2S2Br2: relaxed, PBE-GGA.

Cell lengths 15.0094, 4.4402, 8.0949 Å; angles 90.00, 118.86, 90.00 degrees
With the nearest neighbours (Å) after each atom.
Positions (direct):
Hg 0.0000 0.0000 0.0000  2 S 2.36
Hg 0.5000 0.5000 0.0000  2 S 2.36
Pb 0.2276 0.0000 0.7255  3 S 2.88-3.06, 1 Br 3.02
Pb 0.2724 0.5000 0.2745  3 S 2.88-3.06, 1 Br 3.02
Pb 0.7276 0.5000 0.7255  3 S 2.88-3.06, 1 Br 3.02
Pb 0.7724 0.0000 0.2745  3 S 2.88-3.06, 1 Br 3.02
S 0.1654 0.0000 0.0337  1 Hg 2.36
S 0.3346 0.5000 0.9663  1 Hg 2.36
S 0.6654 0.5000 0.0337  1 Hg 2.36
S 0.8346 0.0000 0.9663  1 Hg 2.36
Br 0.1100 0.5000 0.3925  3 Pb 3.02-3.27
Br 0.3900 0.0000 0.6075  3 Pb 3.02-3.27
Br 0.6100 0.0000 0.3925  3 Pb 3.02-3.27
Br 0.8900 0.5000 0.6075  3 Pb 3.02-3.27

Computed properties:
SG	C2/m

---

No. 9
HgPbSe2Br: relaxed, PBE-GGA.

Cell lengths 5.2632, 5.2632, 5.5200 Å; angles 90.00, 90.00, 90.00 degrees
With the nearest neighbours (Å) after each atom.
Positions (direct):
Hg 0.0000 0.0000 0.0000  4 Se 2.63, 2 Br 2.76
Pb 0.5000 0.5000 0.5000  4 Br 3.72, 8 Se 3.81
Se 0.0000 0.5000 0.0000  2 Hg 2.63
Se 0.5000 0.0000 0.0000  2 Hg 2.63
Br 0.0000 0.0000 0.5000  2 Hg 2.76

Computed properties:
SG	P4/mmm

---

No. 10
SnHg2PbBr4: relaxed, PBE-GGA.

Cell lengths 6.0340, 7.2722, 7.9848 Å; angles 107.35, 111.48, 101.71 degrees
With the nearest neighbours (Å) after each atom.
Positions (direct):
Sn 0.0000 0.0000 0.0000  4 Br 2.74-3.05
Hg 0.2390 0.3521 0.4660  1 Sn 3.37, 1 Hg 3.45, 1 Pb 3.50, 2 Br 3.58-3.72
Hg 0.5005 0.0466 0.6733  1 Sn 3.34, 1 Pb 3.41, 1 Hg 3.45, 1 Br 3.46
Pb 0.4969 0.6788 0.2877  5 Br 2.94-3.22
Br 0.2129 0.3273 0.9001  1 Sn 2.93, 1 Pb 2.94
Br 0.5185 0.0334 0.1755  1 Sn 2.84, 1 Pb 2.97
Br 0.9314 0.6934 0.6666  1 Sn 2.74
Br 0.9318 0.6888 0.1784  2 Pb 3.05-3.22, 1 Sn 3.05

Computed properties:
SG	P1

---

No. 11
SnHgPb2Br8: relaxed, PBE-GGA.

Cell lengths 6.8526, 7.2505, 8.9059 Å; angles 91.64, 92.07, 90.33 degrees
With the nearest neighbours (Å) after each atom.
Positions (direct):
Sn 0.0000 0.0000 0.0000  6 Br 2.99-3.06
Hg 0.0000 0.0000 0.5000  2 Br 2.65
Pb 0.4951 0.4925 0.2559  5 Br 2.95-3.09
Pb 0.5049 0.5075 0.7441  5 Br 2.95-3.09
Br 0.2152 0.1399 0.7300  1 Hg 2.65
Br 0.2486 0.6573 0.4970  2 Pb 3.00, 1 Hg 3.02
Br 0.2513 0.1556 0.2549  1 Pb 2.95, 1 Sn 2.99, 1 Hg 3.06
Br 0.2535 0.6651 0.9964  1 Sn 2.99, 2 Pb 3.08-3.09
Br 0.7465 0.3349 0.0036  1 Sn 2.99, 2 Pb 3.08-3.09
Br 0.7487 0.8444 0.7451  1 Pb 2.95, 1 Sn 2.99, 1 Hg 3.06
Br 0.7514 0.3427 0.5030  2 Pb 3.00, 1 Hg 3.02
Br 0.7848 0.8601 0.2700  1 Hg 2.65

Computed properties:
SG	P-1

---

Respective total energy values: -27.0; -42.0; -31.5; -44.3; -31.3; -10.4; -29.8; -46.9; -12.2; -19.6; -33.8 eV per cell.
Respective magnetic moment values: 0.000; 0.000; 0.000; 0.000; 0.000; 1.374; 0.000; 0.000; 0.000; 0.000; 0.000 μB per cell.
Respective uncorrected formation energy values: -1.10; -0.96; -0.79; -1.19; -0.94; 0.86; -0.11; -0.59; 0.08; -0.57; -0.73 eV/atom.